A | Crystalline ZrBiMo3 at its relaxed geometry, computed with PBE-GGA.

Geometry as extended XYZ:
```
5
Lattice="4.9762 0.0000 0.0000 0.0000 4.9762 0.0000 0.0000 0.0000 4.9762" Properties=species:S:1:pos:R:3 pbc="T T T"
Zr 2.4881 2.4881 2.4881
Mo 0.0000 0.0000 2.4881
Mo 2.4881 0.0000 0.0000
Mo 0.0000 2.4881 0.0000
Bi 0.0000 0.0000 0.0000
```

Properties
Space-group type: Pm-3m
Calculated density: 7924 kg/m³


B | Crystalline ZrBiMo3 at its relaxed geometry, computed with PBE-GGA.

Geometry as extended XYZ:
```
5
Lattice="-4.4247 -2.0678 -0.2872 1.2351 -2.0501 -4.2671 1.6831 -3.9316 2.3761" Properties=species:S:1:pos:R:3 pbc="T T T"
Mo 0.6175 -1.0250 -2.1335
Mo 0.8416 -1.9658 1.1880
Mo -2.2123 -1.0339 -0.1436
Zr 0.0000 0.0000 0.0000
Bi -0.7532 -4.0247 -1.0891
```

Properties
Space-group type: Pm-3m
Calculated density: 8338 kg/m³


Which structure is the least stable? The one labeled A.


A | Crystalline Na2BiN at its relaxed geometry, computed with PBE-GGA.

Geometry as extended XYZ:
```
8
Lattice="-8.3971 -1.9975 -2.8756 2.2017 -8.8222 -0.3011 -3.8151 -5.6665 0.6851" Properties=species:S:1:pos:R:3 pbc="T T T"
N -3.0977 -5.4098 -1.5883
N -2.3556 -9.9493 -0.6022
Na -8.6116 -12.3977 -2.2207
Na -1.8831 -7.4789 -0.8064
Na -4.6709 -3.4691 -1.2336
Na -4.8553 -9.6266 -0.7225
Bi -7.6549 -6.5369 -1.8894
Bi 0.0000 0.0000 0.0000
```

Properties
Space-group type: I-42d
Calculated density: 4501 kg/m³


B | Crystalline Na2BiN at its relaxed geometry, computed with PBE-GGA.

Geometry as extended XYZ:
```
4
Lattice="0.0000 3.4650 3.4650 3.4650 0.0000 3.4650 3.4650 3.4650 0.0000" Properties=species:S:1:pos:R:3 pbc="T T T"
Na 1.7325 1.7325 1.7325
Na 5.1974 5.1974 5.1974
N 0.0000 0.0000 0.0000
Bi 3.4650 3.4650 3.4650
```

Properties
Space-group type: Fm-3m
Calculated density: 5368 kg/m³


Which structure is the least stable? The one labeled B.


A | Crystalline Na2BiN2 at its relaxed geometry, computed with PBE-GGA.

Geometry as extended XYZ:
```
5
Lattice="4.4305 0.0000 0.0000 0.0000 4.4305 0.0000 2.2153 2.2153 4.0537" Properties=species:S:1:pos:R:3 pbc="T T T"
N 4.4305 2.2153 2.0268
N 2.2153 4.4305 2.0268
Na 2.2153 2.2153 1.2361
Na 4.4305 4.4305 2.8176
Bi 0.0000 0.0000 0.0000
```

Properties
Space-group type: I4/mmm
Calculated density: 5905 kg/m³


B | Crystalline Na2BiN2 at its relaxed geometry, computed with PBE-GGA.

Geometry as extended XYZ:
```
10
Lattice="-0.6167 -7.0805 -0.7013 6.9565 -0.7479 1.4333 -0.6162 -0.2306 2.8704" Properties=species:S:1:pos:R:3 pbc="T T T"
Bi 0.0000 0.0000 0.0000
Bi 3.1699 -3.9142 0.3660
N 0.8121 -2.4610 1.4872
N 4.3660 -1.9660 2.2899
N 1.3575 -6.0930 1.3125
N 4.9114 -5.5980 2.1152
Na 5.9187 -3.3875 0.9984
Na 3.7328 -6.7259 0.2610
Na 2.6069 -1.1025 0.4711
Na 0.4210 -4.4409 -0.2664
```

Properties
Space-group type: P4/mbm
Calculated density: 6257 kg/m³


Which structure is the least stable? The one labeled B.


A | Crystalline NaBiSN2 at its relaxed geometry, computed with PBE-GGA.

Geometry as extended XYZ:
```
5
Lattice="4.3470 0.0000 0.0000 0.0000 4.3470 0.0000 0.0000 0.0000 5.0234" Properties=species:S:1:pos:R:3 pbc="T T T"
N 0.0000 2.1735 0.0000
N 2.1735 0.0000 0.0000
S 0.0000 0.0000 2.5117
Bi 2.1735 2.1735 2.5117
Na 0.0000 0.0000 0.0000
```

Properties
Space-group type: P4/mmm
Calculated density: 5109 kg/m³


B | Crystalline NaBiSN2 at its relaxed geometry, computed with PBE-GGA.

Geometry as extended XYZ:
```
5
Lattice="4.4929 0.0000 0.0000 0.0000 4.4929 0.0000 0.0000 0.0000 5.4155" Properties=species:S:1:pos:R:3 pbc="T T T"
S 0.0000 0.0000 2.7077
N 2.2464 0.0000 0.0000
N 0.0000 2.2464 0.0000
Bi 0.0000 0.0000 0.0000
Na 2.2464 2.2464 2.7077
```

Properties
Space-group type: P4/mmm
Calculated density: 4436 kg/m³


Which structure is the least stable? The one labeled A.


A | Crystalline NaBiS2N at its relaxed geometry, computed with PBE-GGA.

Geometry as extended XYZ:
```
5
Lattice="5.3074 0.0000 0.0000 0.0000 5.3074 0.0000 0.0000 0.0000 4.6023" Properties=species:S:1:pos:R:3 pbc="T T T"
S 2.6537 0.0000 0.0000
S 0.0000 2.6537 0.0000
N 0.0000 0.0000 2.3011
Bi 0.0000 0.0000 0.0000
Na 2.6537 2.6537 2.3011
```

Properties
Space-group type: P4/mmm
Calculated density: 3972 kg/m³


B | Crystalline NaBiS2N at its relaxed geometry, computed with PBE-GGA.

Geometry as extended XYZ:
```
5
Lattice="5.0643 0.0000 0.0000 0.0000 5.0643 0.0000 0.0000 0.0000 4.1742" Properties=species:S:1:pos:R:3 pbc="T T T"
Bi 2.5321 2.5321 2.0871
N 0.0000 0.0000 2.0871
S 0.0000 2.5321 0.0000
S 2.5321 0.0000 0.0000
Na 0.0000 0.0000 0.0000
```

Properties
Space-group type: P4/mmm
Calculated density: 4810 kg/m³


Which structure is the least stable? The one labeled B.


A | Crystalline NaBiSe2N at its relaxed geometry, computed with PBE-GGA.

Geometry as extended XYZ:
```
5
Lattice="-5.3598 -1.5732 -0.3876 0.5044 -0.3469 -5.5658 1.2745 -4.4388 0.3922" Properties=species:S:1:pos:R:3 pbc="T T T"
Na -1.7904 -3.1795 -2.7806
Bi 0.0000 0.0000 0.0000
Se 0.2522 -0.1735 -2.7829
Se -2.6799 -0.7866 -0.1938
N 0.6373 -2.2194 0.1961
```

Properties
Space-group type: P4/mmm
Calculated density: 4615 kg/m³


B | Crystalline NaBiSe2N at its relaxed geometry, computed with PBE-GGA.

Geometry as extended XYZ:
```
5
Lattice="5.3000 0.0000 0.0000 0.0000 5.3000 0.0000 0.0000 0.0000 4.2482" Properties=species:S:1:pos:R:3 pbc="T T T"
Bi 2.6500 2.6500 2.1241
Na 0.0000 0.0000 0.0000
N 0.0000 0.0000 2.1241
Se 2.6500 0.0000 0.0000
Se 0.0000 2.6500 0.0000
```

Properties
Space-group type: P4/mmm
Calculated density: 5620 kg/m³


C | Crystalline NaBiSe2N at its relaxed geometry, computed with PBE-GGA.

Geometry as extended XYZ:
```
5
Lattice="-4.6369 -0.0618 1.2474 1.2204 -0.1484 4.5292 -0.0202 4.7994 0.1627" Properties=species:S:1:pos:R:3 pbc="T T T"
N 0.0000 0.0000 0.0000
Se -2.3185 -0.0309 0.6237
Se -0.0101 2.3997 0.0814
Na -1.7183 2.2946 2.9697
Bi 0.6102 -0.0742 2.2646
```

Properties
Space-group type: P4/mmm
Calculated density: 6197 kg/m³


Which structure is the least stable? The one labeled B.


A | Crystalline NaBiTeN2 at its relaxed geometry, computed with PBE-GGA.

Geometry as extended XYZ:
```
5
Lattice="4.5792 0.0000 0.0000 0.0000 4.5792 0.0000 0.0000 0.0000 5.8470" Properties=species:S:1:pos:R:3 pbc="T T T"
Bi 2.2896 2.2896 2.9235
Te 0.0000 0.0000 2.9235
N 0.0000 2.2896 0.0000
N 2.2896 0.0000 0.0000
Na 0.0000 0.0000 0.0000
```

Properties
Space-group type: P4/mmm
Calculated density: 5249 kg/m³


B | Crystalline NaBiTeN2 at its relaxed geometry, computed with PBE-GGA.

Geometry as extended XYZ:
```
5
Lattice="-3.1582 0.9085 3.2312 -3.3555 -0.7467 -3.0698 -0.1089 -5.9425 1.5644" Properties=species:S:1:pos:R:3 pbc="T T T"
N -1.5791 0.4542 1.6156
N -1.6778 -0.3733 -1.5349
Te -0.0544 -2.9712 0.7822
Bi 0.0000 0.0000 0.0000
Na -3.3113 -2.8903 0.8629
```

Properties
Space-group type: P4/mmm
Calculated density: 4930 kg/m³


Which structure is the least stable? The one labeled A.


A | Crystalline NaY2BiN at its relaxed geometry, computed with PBE-GGA.

Geometry as extended XYZ:
```
5
Lattice="5.5507 0.0000 0.0000 0.0000 3.9947 0.0000 0.0000 0.0000 5.5507" Properties=species:S:1:pos:R:3 pbc="T T T"
Y 2.7754 0.0000 0.0000
Y 0.0000 0.0000 2.7754
Bi 2.7754 1.9973 2.7754
N 0.0000 1.9973 0.0000
Na 0.0000 0.0000 0.0000
```

Properties
Space-group type: P4/mmm
Calculated density: 5718 kg/m³


B | Crystalline NaY2BiN at its relaxed geometry, computed with PBE-GGA.

Geometry as extended XYZ:
```
5
Lattice="-0.7179 1.6616 4.4215 3.1733 -3.1430 1.6964 3.5714 3.2580 -0.6445" Properties=species:S:1:pos:R:3 pbc="T T T"
N 0.0000 0.0000 0.0000
Y 1.5867 -1.5715 0.8482
Y -0.3590 0.8308 2.2108
Bi 3.0134 0.8883 2.7367
Na 1.7857 1.6290 -0.3223
```

Properties
Space-group type: P4/mmm
Calculated density: 6321 kg/m³


Which structure is the least stable? The one labeled A.